1.
DFT (PBE) results for a geometry-optimized LaPHCl2 structure.

Values from the calculation:
magnetization	0.00	μB per formula unit

a b c (Å): 4.8807 4.8807 3.7632
angles (deg): 90.00 90.00 90.00
Element x y z (fractional)
La 0.0000 0.0000 0.0000
P 0.5000 0.5000 0.0000
H 0.5000 0.5000 0.5000
Cl 0.0000 0.5000 0.5000
Cl 0.5000 0.0000 0.5000

***

2.
DFT (PBE) results for a geometry-optimized LaP2HCl structure.

Values from the calculation:
magnetization	4.62	μB per formula unit

a b c (Å): 5.9187 5.9187 5.6303
angles (deg): 90.00 90.00 90.00
Element x y z (fractional)
La 0.0000 0.0000 0.0000
P 0.0000 0.5000 0.0000
P 0.5000 0.0000 0.0000
H 0.5000 0.5000 0.5000
Cl 0.0000 0.0000 0.5000

***

3.
DFT (PBE) results for a geometry-optimized LaPHCl2 structure.

Values from the calculation:
magnetization	3.00	μB per formula unit

a b c (Å): 5.6160 5.6160 6.0665
angles (deg): 90.00 90.00 90.00
Element x y z (fractional)
La 0.0000 0.0000 0.0000
P 0.0000 0.0000 0.5000
H 0.5000 0.5000 0.5000
Cl 0.0000 0.5000 0.0000
Cl 0.5000 0.0000 0.0000

***

4.
DFT (PBE) results for a geometry-optimized La4PHCl2 structure.

Values from the calculation:
magnetization	0.00	μB per formula unit

a b c (Å): 7.0892 4.0718 7.2185
angles (deg): 90.00 107.38 90.00
Element x y z (fractional)
La 0.2384 0.0000 0.2295
La 0.2450 0.5000 0.7776
La 0.7550 0.5000 0.2224
La 0.7616 0.0000 0.7705
P 0.5000 0.0000 0.0000
H 0.0000 0.5000 0.0000
Cl 0.0000 0.0000 0.5000
Cl 0.5000 0.5000 0.5000

***

5.
DFT (PBE) results for a geometry-optimized La8HPt3Cl4 structure.

Values from the calculation:
magnetization	0.00	μB per formula unit

a b c (Å): 8.7005 8.7005 8.7005
angles (deg): 57.46 57.46 57.46
Element x y z (fractional)
La 0.2405 0.2405 0.2405
La 0.2489 0.7392 0.7392
La 0.2608 0.2608 0.7511
La 0.2608 0.7511 0.2608
La 0.7392 0.2489 0.7392
La 0.7392 0.7392 0.2489
La 0.7511 0.2608 0.2608
La 0.7595 0.7595 0.7595
H 0.5000 0.5000 0.5000
Pt 0.0000 0.0000 0.5000
Pt 0.0000 0.5000 0.0000
Pt 0.5000 0.0000 0.0000
Cl 0.0000 0.0000 0.0000
Cl 0.0000 0.5000 0.5000
Cl 0.5000 0.0000 0.5000
Cl 0.5000 0.5000 0.0000

***

6.
DFT (PBE) results for a geometry-optimized RbLaH2Cl structure.

Values from the calculation:
magnetization	0.00	μB per formula unit

a b c (Å): 5.8368 5.8368 5.1274
angles (deg): 90.00 90.00 90.00
Element x y z (fractional)
Rb 0.0000 0.0000 0.0000
La 0.5000 0.5000 0.0000
H 0.0000 0.5000 0.5000
H 0.5000 0.0000 0.5000
Cl 0.5000 0.5000 0.5000

***

Number 1: density 4.48 g cm⁻³, D(E_F) 0.6109 states/eV per atom, DFT total energy -4.08 eV per atom. Number 2: density 2.00 g cm⁻³, D(E_F) 0.6305 states/eV per atom, DFT total energy -3.72 eV per atom. Number 3: density 2.10 g cm⁻³, D(E_F) 0.0638 states/eV per atom, DFT total energy -3.94 eV per atom. Number 4: density 5.50 g cm⁻³, D(E_F) 0.7768 states/eV per atom, DFT total energy -5.31 eV per atom. Number 5: density 6.96 g cm⁻³, D(E_F) 1.1516 states/eV per atom, DFT total energy -5.54 eV per atom. Number 6: density 2.49 g cm⁻³, D(E_F) 0.8543 states/eV per atom, DFT total energy -2.65 eV per atom.